(1)
Ca2ZnCd2 | PBE-GGA | optimized geometry

The value obtained for the formation enthalpy at 0 K is -0.029 eV/atom. The density of states at the Fermi level comes out at 0.22 states/eV per atom. As for the crystal system: tetragonal. The value obtained for the energy above the most stable polymorph in this dataset is 265 meV per atom.

The space group is I4/mmm (No. 139) and the conventional cell measures 6.157, 6.157 and 7.903 Å, with angles of 90.00, 90.00 and 90.00 degrees. Symmetry generates all atoms from Ca at (0.000, 0.500, 0.250), Zn at (0.000, 0.000, 0.000) and Cd at (0.000, 0.000, 0.332).

(2)
Ca2ZnCd2 | PBE-GGA | optimized geometry

The value obtained for the formation enthalpy at 0 K is -0.066 eV/atom. The density of states at the Fermi level comes out at 0.97 states/eV per atom. As for the crystal system: tetragonal. The value obtained for the energy above the most stable polymorph in this dataset is 227 meV per atom.

The space group is P4/mbm (No. 127) and the conventional cell measures 8.360, 8.360 and 4.243 Å, with angles of 90.00, 90.00 and 90.00 degrees. Symmetry generates all atoms from Ca at (0.162, 0.338, 0.000), Zn at (0.000, 0.000, 0.000) and Cd at (0.135, 0.635, 0.500).

(3)
Ca2ZnCd | PBE-GGA | optimized geometry

The value obtained for the formation enthalpy at 0 K is -0.116 eV/atom. The density of states at the Fermi level comes out at 0.62 states/eV per atom. As for the crystal system: trigonal.

The space group is R-3m (No. 166, hexagonal axes) and the conventional cell measures 4.0287, 4.0287 and 26.0591 Å, with angles of 90.00, 90.00 and 120.00 degrees. Symmetry generates all atoms from Ca at (0.0000, 0.0000, 0.2439), Zn at (0.0000, 0.0000, 0.5000) and Cd at (0.0000, 0.0000, 0.0000).

(4)
CaZnCd | PBE-GGA | optimized geometry

The value obtained for the formation enthalpy at 0 K is -0.141 eV/atom. The density of states at the Fermi level comes out at 0.72 states/eV per atom. As for the crystal system: cubic.

The space group is F-43m (No. 216) and the conventional cell measures 6.833, 6.833 and 6.833 Å, with angles of 90.00, 90.00 and 90.00 degrees. Symmetry generates all atoms from Ca at (0.000, 0.000, 0.000), Zn at (0.250, 0.250, 0.250) and Cd at (0.000, 0.000, 0.500).